1.
## SrScTc2 (GGA-PBE)

Data for a geometry-optimized SrScTc2 structure.

Cell lengths 3.6415, 3.6415, 6.9541 Å; angles 90.00, 90.00, 90.00 degrees
Sites, in units of the cell vectors:
Sr: 0.0000 0.0000 0.0000
Sc: 0.0000 0.0000 0.5000
Tc: 0.5000 0.5000 0.3373
Tc: 0.5000 0.5000 0.6627

Results
M_tot   0.0 μB/f.u.
Symmetry   P4/mmm, No. 123
Energy relative to the elements   332.1 meV per atom
Excess energy over the best structure of this formula in the dataset   48 kJ/mol of formula units

---

2.
## SrScTc4 (GGA-PBE)

Data for a geometry-optimized SrScTc4 structure.

Cell lengths 5.3985, 5.3985, 5.3985 Å; angles 60.00, 60.00, 60.00 degrees
Sites, in units of the cell vectors:
Sr: 0.0000 0.0000 0.0000
Sc: 0.2500 0.2500 0.2500
Tc: 0.1265 0.6245 0.6245
Tc: 0.6245 0.1265 0.6245
Tc: 0.6245 0.6245 0.1265
Tc: 0.6245 0.6245 0.6245

Results
M_tot   0.0 μB/f.u.
Symmetry   F-43m, No. 216
Energy relative to the elements   221.4 meV per atom

---

3.
## SrScTc (GGA-PBE)

Data for a geometry-optimized SrScTc structure.

Cell lengths 4.8051, 4.8051, 4.8051 Å; angles 60.00, 60.00, 60.00 degrees
Sites, in units of the cell vectors:
Sr: 0.0000 0.0000 0.0000
Sc: 0.5000 0.5000 0.5000
Tc: 0.2500 0.2500 0.2500

Results
M_tot   0.0 μB/f.u.
Symmetry   F-43m, No. 216
Energy relative to the elements   741.6 meV per atom
Excess energy over the best structure of this formula in the dataset   126 kJ/mol of formula units

---

4.
## SrSc2Tc (GGA-PBE)

Data for a geometry-optimized SrSc2Tc structure.

Cell lengths 4.2044, 4.2044, 8.4041 Å; angles 95.33, 95.33, 47.44 degrees
Sites, in units of the cell vectors:
Sr: 0.0000 0.0000 0.0000
Sc: 0.2263 0.2263 0.6577
Sc: 0.7737 0.7737 0.3423
Tc: 0.5000 0.5000 0.5000

Results
M_tot   0.0 μB/f.u.
Symmetry   C2/m, No. 12
Energy relative to the elements   185.7 meV per atom
Excess energy over the best structure of this formula in the dataset   72 kJ/mol of formula units

---

5.
## SrSc2Tc (GGA-PBE)

Data for a geometry-optimized SrSc2Tc structure.

Cell lengths 4.7283, 4.7283, 4.1098 Å; angles 90.00, 90.00, 90.00 degrees
Sites, in units of the cell vectors:
Sr: 0.0000 0.0000 0.0000
Sc: 0.0000 0.5000 0.5000
Sc: 0.5000 0.0000 0.5000
Tc: 0.5000 0.5000 0.0000

Results
M_tot   0.0 μB/f.u.
Symmetry   P4/mmm, No. 123
Energy relative to the elements   522.3 meV per atom
Excess energy over the best structure of this formula in the dataset   202 kJ/mol of formula units

---

6.
## SrScTc2 (GGA-PBE)

Data for a geometry-optimized SrScTc2 structure.

Cell lengths 5.1739, 5.1739, 6.0552 Å; angles 106.01, 106.01, 43.01 degrees
Sites, in units of the cell vectors:
Sr: 0.0000 0.0000 0.0000
Sc: 0.5000 0.5000 0.5000
Tc: 0.2510 0.2510 0.6159
Tc: 0.7490 0.7490 0.3841

Results
M_tot   0.0 μB/f.u.
Symmetry   C2/m, No. 12
Energy relative to the elements   400.2 meV per atom
Excess energy over the best structure of this formula in the dataset   74 kJ/mol of formula units

---

What did the first record say?
## SrScTc2 (GGA-PBE)

Data for a geometry-optimized SrScTc2 structure.

Cell lengths 3.6415, 3.6415, 6.9541 Å; angles 90.00, 90.00, 90.00 degrees
Sites, in units of the cell vectors:
Sr: 0.0000 0.0000 0.0000
Sc: 0.0000 0.0000 0.5000
Tc: 0.5000 0.5000 0.3373
Tc: 0.5000 0.5000 0.6627

Results
M_tot   0.0 μB/f.u.
Symmetry   P4/mmm, No. 123
Energy relative to the elements   332.1 meV per atom
Excess energy over the best structure of this formula in the dataset   48 kJ/mol of formula units